Here is a geometry-optimized HfCdSe2 structure from Alexandria via LeMat-Bulk. Energies are from PBE-GGA.

a = 7.5995 Å, b = 7.5995 Å, c = 7.5668 Å
α = 59.86°, β = 59.86°, γ = 90.00°
With the nearest neighbours (Å) after each atom.
Positions (direct):
Hf 0.0000 0.0000 0.0000  4 Se 2.52
Hf 0.7500 0.2500 0.5000  4 Se 2.52
Se 0.7466 0.1250 0.2500  2 Hf 2.52
Se 0.0034 0.6250 0.2500  2 Hf 2.52
Se 0.3750 0.2534 0.7500  2 Hf 2.52
Se 0.8750 0.9966 0.7500  2 Hf 2.52
Cd 0.5000 0.5000 0.0000  4 Se 3.65
Cd 0.2500 0.7500 0.5000  4 Se 3.65

Summary:
Its formation energy without anion corrections is -548 meV per atom. The density of states at the Fermi level is 0.00 states/eV per atom.

---

Here is a geometry-optimized HfCdSe3 structure from Alexandria via LeMat-Bulk. Energies are from PBE-GGA.

a = 5.1852 Å, b = 5.1852 Å, c = 5.1852 Å
α = 90.00°, β = 90.00°, γ = 90.00°
With the nearest neighbours (Å) after each atom.
Positions (direct):
Hf 0.0000 0.0000 0.0000  6 Se 2.59
Se 0.0000 0.5000 0.0000  2 Hf 2.59
Se 0.0000 0.0000 0.5000  2 Hf 2.59
Se 0.5000 0.0000 0.0000  2 Hf 2.59
Cd 0.5000 0.5000 0.5000  12 Se 3.67

Summary:
The excess energy over the best structure of this formula in the dataset comes out at 0.000 eV per formula unit. Its formation energy without anion corrections is -468 meV per atom. The density of states at the Fermi level is 0.46 states/eV per atom.

---

Here is a geometry-optimized HfCdSe3 structure from Alexandria via LeMat-Bulk. Energies are from PBE-GGA.

a = 5.0751 Å, b = 5.0751 Å, c = 5.0751 Å
α = 90.00°, β = 90.00°, γ = 90.00°
With the nearest neighbours (Å) after each atom.
Positions (direct):
Hf 0.5000 0.5000 0.5000  12 Se 3.59
Se 0.0000 0.5000 0.0000  2 Cd 2.54
Se 0.0000 0.0000 0.5000  2 Cd 2.54
Se 0.5000 0.0000 0.0000  2 Cd 2.54
Cd 0.0000 0.0000 0.0000  6 Se 2.54

Summary:
The excess energy over the best structure of this formula in the dataset comes out at 4.996 eV per formula unit. Its formation energy without anion corrections is 531 meV per atom. The density of states at the Fermi level is 0.75 states/eV per atom.

---

Here is a geometry-optimized Hf2Cd2Se structure from Alexandria via LeMat-Bulk. Energies are from PBE-GGA.

a = 6.8874 Å, b = 6.8874 Å, c = 4.7550 Å
α = 90.00°, β = 90.00°, γ = 90.00°
With the nearest neighbours (Å) after each atom.
Positions (direct):
Hf 0.3426 0.8426 0.0000  2 Se 2.60
Hf 0.8426 0.6574 0.0000  2 Se 2.60
Hf 0.6574 0.1574 0.0000  2 Se 2.60
Hf 0.1574 0.3426 0.0000  2 Se 2.60
Se 0.0000 0.0000 0.0000  4 Hf 2.60
Se 0.5000 0.5000 0.0000  4 Hf 2.60
Cd 0.1489 0.6489 0.5000  1 Cd 2.90, 6 Hf 3.04-3.18
Cd 0.6489 0.8511 0.5000  1 Cd 2.90, 6 Hf 3.04-3.18
Cd 0.8511 0.3511 0.5000  1 Cd 2.90, 6 Hf 3.04-3.18
Cd 0.3511 0.1489 0.5000  1 Cd 2.90, 6 Hf 3.04-3.18

Summary:
Its formation energy without anion corrections is -331 meV per atom. The density of states at the Fermi level is 0.25 states/eV per atom.

---

Here is a geometry-optimized Hf2CdSe structure from Alexandria via LeMat-Bulk. Energies are from PBE-GGA.

a = 3.2698 Å, b = 3.2698 Å, c = 10.1577 Å
α = 80.74°, β = 80.74°, γ = 60.00°
With the nearest neighbours (Å) after each atom.
Positions (direct):
Hf 0.1001 0.1001 0.6996  3 Se 2.74, 1 Cd 3.00
Hf 0.8999 0.8999 0.3004  3 Se 2.74, 1 Cd 3.00
Se 0.5000 0.5000 0.5000  6 Hf 2.74
Cd 0.0000 0.0000 0.0000  2 Hf 3.00, 6 Cd 3.27

Summary:
The excess energy over the best structure of this formula in the dataset comes out at 1.144 eV per formula unit. Its formation energy without anion corrections is -41 meV per atom. The density of states at the Fermi level is 0.75 states/eV per atom.

---

Here is a geometry-optimized Hf2CdSe structure from Alexandria via LeMat-Bulk. Energies are from PBE-GGA.

a = 4.8532 Å, b = 4.8532 Å, c = 4.8532 Å
α = 60.00°, β = 60.00°, γ = 60.00°
With the nearest neighbours (Å) after each atom.
Positions (direct):
Hf 0.2500 0.2500 0.2500  4 Cd 2.97, 4 Se 2.97
Hf 0.7500 0.7500 0.7500  4 Cd 2.97, 4 Se 2.97
Se 0.0000 0.0000 0.0000  8 Hf 2.97
Cd 0.5000 0.5000 0.5000  8 Hf 2.97

Summary:
The excess energy over the best structure of this formula in the dataset comes out at 0.820 eV per formula unit. Its formation energy without anion corrections is -122 meV per atom. The density of states at the Fermi level is 0.62 states/eV per atom.

---

Here is a geometry-optimized HfCdSe2 structure from Alexandria via LeMat-Bulk. Energies are from PBE-GGA.

a = 8.5904 Å, b = 8.5904 Å, c = 8.5904 Å
α = 26.35°, β = 26.35°, γ = 26.35°
With the nearest neighbours (Å) after each atom.
Positions (direct):
Hf 0.0000 0.0000 0.0000  2 Se 2.51
Se 0.8990 0.8990 0.8990  1 Hf 2.51, 3 Cd 2.79
Se 0.1010 0.1010 0.1010  1 Hf 2.51, 3 Cd 2.79
Cd 0.5000 0.5000 0.5000  6 Se 2.79

Summary:
Its formation energy without anion corrections is -151 meV per atom. The density of states at the Fermi level is 0.01 states/eV per atom.

---

Here is a geometry-optimized HfCdSi3 structure from Alexandria via LeMat-Bulk. Energies are from PBE-GGA.

a = 5.0962 Å, b = 5.0962 Å, c = 5.0962 Å
α = 90.00°, β = 90.00°, γ = 90.00°
With the nearest neighbours (Å) after each atom.
Positions (direct):
Si 0.0000 0.5000 0.0000  2 Hf 2.55
Si 0.0000 0.0000 0.5000  2 Hf 2.55
Si 0.5000 0.0000 0.0000  2 Hf 2.55
Hf 0.0000 0.0000 0.0000  6 Si 2.55
Cd 0.5000 0.5000 0.5000  12 Si 3.60

Summary:
The excess energy over the best structure of this formula in the dataset comes out at 0.000 eV per formula unit. Its formation energy without anion corrections is 750 meV per atom. The density of states at the Fermi level is 0.52 states/eV per atom.

---

Here is a geometry-optimized Hf2CdSi2 structure from Alexandria via LeMat-Bulk. Energies are from PBE-GGA.

a = 6.9270 Å, b = 6.9270 Å, c = 3.7398 Å
α = 90.00°, β = 90.00°, γ = 90.00°
With the nearest neighbours (Å) after each atom.
Positions (direct):
Si 0.3784 0.8784 0.0000  1 Si 2.38
Si 0.8784 0.6216 0.0000  1 Si 2.38
Si 0.6216 0.1216 0.0000  1 Si 2.38
Si 0.1216 0.3784 0.0000  1 Si 2.38
Hf 0.1742 0.6742 0.5000  6 Si 2.74-2.80
Hf 0.6742 0.8258 0.5000  6 Si 2.74-2.80
Hf 0.8258 0.3258 0.5000  6 Si 2.74-2.80
Hf 0.3258 0.1742 0.5000  6 Si 2.74-2.80
Cd 0.0000 0.0000 0.0000  4 Si 2.75
Cd 0.5000 0.5000 0.0000  4 Si 2.75

Summary:
Its formation energy without anion corrections is -410 meV per atom. The density of states at the Fermi level is 0.71 states/eV per atom.

---

Here is a geometry-optimized Hf3CdSi structure from Alexandria via LeMat-Bulk. Energies are from PBE-GGA.

a = 4.8984 Å, b = 4.8984 Å, c = 4.8984 Å
α = 90.00°, β = 90.00°, γ = 90.00°
With the nearest neighbours (Å) after each atom.
Positions (direct):
Si 0.0000 0.0000 0.0000  6 Hf 2.45
Hf 0.0000 0.5000 0.0000  2 Si 2.45
Hf 0.0000 0.0000 0.5000  2 Si 2.45
Hf 0.5000 0.0000 0.0000  2 Si 2.45
Cd 0.5000 0.5000 0.5000  12 Hf 3.46

Summary:
The excess energy over the best structure of this formula in the dataset comes out at 0.000 eV per formula unit. Its formation energy without anion corrections is 165 meV per atom. The density of states at the Fermi level is 0.50 states/eV per atom.

---

Here is a geometry-optimized HfCdSi3 structure from Alexandria via LeMat-Bulk. Energies are from PBE-GGA.

a = 4.8733 Å, b = 4.8733 Å, c = 4.8733 Å
α = 90.00°, β = 90.00°, γ = 90.00°
With the nearest neighbours (Å) after each atom.
Positions (direct):
Si 0.0000 0.5000 0.0000  2 Cd 2.44
Si 0.0000 0.0000 0.5000  2 Cd 2.44
Si 0.5000 0.0000 0.0000  2 Cd 2.44
Hf 0.5000 0.5000 0.5000  12 Si 3.45
Cd 0.0000 0.0000 0.0000  6 Si 2.44

Summary:
The excess energy over the best structure of this formula in the dataset comes out at 2.864 eV per formula unit. Its formation energy without anion corrections is 1323 meV per atom. The density of states at the Fermi level is 0.87 states/eV per atom.

---

Here is a geometry-optimized HfCd2Si structure from Alexandria via LeMat-Bulk. Energies are from PBE-GGA.

a = 7.9012 Å, b = 7.9012 Å, c = 6.2126 Å
α = 50.51°, β = 50.51°, γ = 90.00°
With the nearest neighbours (Å) after each atom.
Positions (direct):
Si 0.5000 0.5000 0.0000  4 Cd 2.67, 2 Hf 2.72
Si 0.2500 0.7500 0.5000  4 Cd 2.67, 2 Hf 2.72
Hf 0.0000 0.0000 0.0000  2 Si 2.72
Hf 0.7500 0.2500 0.5000  2 Si 2.72
Cd 0.5854 0.1250 0.2500  2 Si 2.67, 2 Cd 2.79
Cd 0.1646 0.6250 0.2500  2 Si 2.67, 2 Cd 2.79
Cd 0.3750 0.4146 0.7500  2 Si 2.67, 2 Cd 2.79
Cd 0.8750 0.8354 0.7500  2 Si 2.67, 2 Cd 2.79

Summary:
Its formation energy without anion corrections is 199 meV per atom. The density of states at the Fermi level is 0.20 states/eV per atom.

---

Here is a geometry-optimized Sm2HfCd structure from Alexandria via LeMat-Bulk. Energies are from PBE-GGA.

a = 3.4704 Å, b = 5.5974 Å, c = 5.5974 Å
α = 90.00°, β = 90.00°, γ = 90.00°
With the nearest neighbours (Å) after each atom.
Positions (direct):
Hf 0.5000 0.0000 0.0000  8 Sm 3.29, 2 Hf 3.47
Sm 0.0000 0.0000 0.5000  4 Cd 3.29, 4 Hf 3.29, 2 Sm 3.47
Sm 0.0000 0.5000 0.0000  4 Hf 3.29, 4 Cd 3.29, 2 Sm 3.47
Cd 0.5000 0.5000 0.5000  8 Sm 3.29, 2 Cd 3.47

Summary:
The excess energy over the best structure of this formula in the dataset comes out at 0.386 eV per formula unit. As for the energy of formation: 0.0429 eV per atom. The density of states at the Fermi level is 1.39 states/eV per atom.